Entry 1:
{
  "formula": "Nd2Y2Cd",
  "functional": "PBE",
  "state": "optimized geometry",
  "lattice": [[-2.5125, -4.2716, 6.9424], [-1.2277, -6.1928, 0.9853], [5.9910, -3.5171, 5.8087]],
  "species": ["Nd", "Nd", "Nd", "Y", "Cd", "Y", "Y", "Nd", "Y", "Cd"],
  "fractional_positions": [[0.4013, 0.0000, 0.8810], [0.2681, 0.0000, 0.5682], [0.7319, 0.0000, 0.4318], [0.9634, 0.3691, 0.2774], [0.8422, 0.3156, 0.0000], [0.3325, 0.6309, 0.2774], [0.6675, 0.3691, 0.7226], [0.5987, 0.0000, 0.1190], [0.0366, 0.6309, 0.7226], [0.1578, 0.6844, 0.0000]]
}

Entry 2:
{
  "formula": "Nd3Y2Cd2",
  "functional": "PBE",
  "state": "optimized geometry",
  "lattice": [[-3.0751, 3.9759, 1.1615], [-2.8234, -2.0841, -0.3409], [-0.8549, -0.7853, 11.8806]],
  "species": ["Nd", "Nd", "Y", "Y", "Cd", "Nd", "Cd"],
  "fractional_positions": [[0.8552, 0.0000, 0.2896], [0.0000, 0.0000, 0.0000], [0.2901, 0.5000, 0.4198], [0.7099, 0.5000, 0.5802], [0.5689, 0.5000, 0.8622], [0.1448, 0.0000, 0.7104], [0.4311, 0.5000, 0.1378]]
}

For each record above, in turn, the calculated ΔE_f values are -0.049, -0.052 eV/atom.
For each record above, in turn, the calculated offset from the most stable computed form values are 77, 110 meV/atom.
For each record above, in turn, the calculated electronic total energy values are -0.1737, -0.1545 hartree per atom.